[1]
Below is a relaxed HgTePbO crystal, with properties calculated at the GGA-PBE level.

Geometry as POSCAR:
```
HgTePbO
1.0
-4.505 -5.050 3.843
-0.942 -5.137 5.769
-2.166 5.155 4.236
Hg O Pb Te
2 2 2 2
direct
0.653 0.653 0.446 Hg
0.347 0.347 0.946 Hg
0.931 0.931 0.025 O
0.069 0.069 0.525 O
0.934 0.934 0.365 Pb
0.066 0.066 0.865 Pb
0.699 0.699 0.056 Te
0.301 0.301 0.556 Te
```

Offset from the most stable computed form   0.232 eV per atom

[2]
Below is a relaxed HgTePbO crystal, with properties calculated at the GGA-PBE level.

Geometry as POSCAR:
```
HgTePbO
1.0
-0.436 -2.278 3.882
4.031 1.538 1.355
-4.240 7.601 3.983
Hg O Pb Te
2 2 2 2
direct
0.250 0.250 0.434 Hg
0.750 0.750 0.566 Hg
0.750 0.250 0.500 O
0.250 0.750 0.500 O
0.750 0.750 0.202 Pb
0.250 0.250 0.798 Pb
0.250 0.250 0.128 Te
0.750 0.750 0.872 Te
```

Offset from the most stable computed form   0.315 eV per atom

[3]
Below is a relaxed HgTePbO crystal, with properties calculated at the GGA-PBE level.

Geometry as POSCAR:
```
HgTePbO
1.0
-5.767 -2.603 -4.074
8.219 -10.147 -5.151
-2.180 -4.932 6.237
Hg O Pb Te
8 8 8 8
direct
0.138 0.171 0.224 Hg
0.362 0.671 0.224 Hg
0.638 0.171 0.276 Hg
0.862 0.671 0.276 Hg
0.138 0.329 0.724 Hg
0.362 0.829 0.724 Hg
0.638 0.329 0.776 Hg
0.862 0.829 0.776 Hg
0.783 0.046 0.218 O
0.717 0.546 0.218 O
0.283 0.046 0.282 O
0.217 0.546 0.282 O
0.783 0.454 0.718 O
0.717 0.954 0.718 O
0.283 0.454 0.782 O
0.217 0.954 0.782 O
0.326 0.439 0.104 Pb
0.174 0.939 0.104 Pb
0.826 0.439 0.396 Pb
0.674 0.939 0.396 Pb
0.326 0.061 0.604 Pb
0.174 0.561 0.604 Pb
0.826 0.061 0.896 Pb
0.674 0.561 0.896 Pb
0.976 0.319 0.089 Te
0.524 0.819 0.089 Te
0.476 0.319 0.411 Te
0.024 0.819 0.411 Te
0.976 0.181 0.589 Te
0.524 0.681 0.589 Te
0.476 0.181 0.911 Te
0.024 0.681 0.911 Te
```

Offset from the most stable computed form   0.134 eV per atom

[4]
Below is a relaxed HgTePbO crystal, with properties calculated at the GGA-PBE level.

Geometry as POSCAR:
```
HgTePbO
1.0
7.159 0.000 0.000
0.000 8.176 0.000
0.000 0.000 7.017
Hg O Pb Te
4 4 4 4
direct
0.922 0.353 0.077 Hg
0.422 0.647 0.077 Hg
0.578 0.353 0.577 Hg
0.078 0.647 0.577 Hg
0.995 0.089 0.126 O
0.495 0.911 0.126 O
0.505 0.089 0.626 O
0.005 0.911 0.626 O
0.193 0.051 0.404 Pb
0.693 0.949 0.404 Pb
0.307 0.051 0.904 Pb
0.807 0.949 0.904 Pb
0.514 0.328 0.143 Te
0.014 0.672 0.143 Te
0.986 0.328 0.643 Te
0.486 0.672 0.643 Te
```

Offset from the most stable computed form   0.078 eV per atom

[5]
Below is a relaxed HgTePbO crystal, with properties calculated at the GGA-PBE level.

Geometry as POSCAR:
```
HgTePbO
1.0
4.228 0.000 0.000
0.000 4.228 0.000
0.000 0.000 12.046
Hg O Pb Te
2 2 2 2
direct
0.750 0.750 0.121 Hg
0.250 0.250 0.879 Hg
0.250 0.250 0.063 O
0.750 0.750 0.937 O
0.250 0.250 0.236 Pb
0.750 0.750 0.764 Pb
0.750 0.250 0.500 Te
0.250 0.750 0.500 Te
```

Offset from the most stable computed form   0.459 eV per atom

[6]
Below is a relaxed HgTePbO crystal, with properties calculated at the GGA-PBE level.

Geometry as POSCAR:
```
HgTePbO
1.0
-3.335 -3.219 3.063
4.194 -1.017 3.498
-2.036 6.128 4.224
Hg O Pb Te
2 2 2 2
direct
0.250 0.250 0.351 Hg
0.750 0.750 0.649 Hg
0.250 0.250 0.071 O
0.750 0.750 0.929 O
0.750 0.750 0.195 Pb
0.250 0.250 0.805 Pb
0.750 0.250 0.500 Te
0.250 0.750 0.500 Te
```

Offset from the most stable computed form   0.365 eV per atom

[7]
Below is a relaxed HgTePbO crystal, with properties calculated at the GGA-PBE level.

Geometry as POSCAR:
```
HgTePbO
1.0
-3.990 0.000 0.000
0.000 0.000 -6.484
-1.995 -7.283 0.000
Hg O Pb Te
2 2 2 2
direct
0.877 0.250 0.246 Hg
0.123 0.750 0.754 Hg
0.000 0.000 0.000 O
0.000 0.500 0.000 O
0.439 0.750 0.123 Pb
0.561 0.250 0.877 Pb
0.757 0.750 0.485 Te
0.243 0.250 0.515 Te
```

Offset from the most stable computed form   0.321 eV per atom

[8]
Below is a relaxed HgTePbO crystal, with properties calculated at the GGA-PBE level.

Geometry as POSCAR:
```
HgTePbO
1.0
6.657 0.000 0.000
0.000 4.036 0.000
0.000 0.000 15.661
Hg O Pb Te
4 4 4 4
direct
0.113 0.750 0.109 Hg
0.613 0.750 0.391 Hg
0.387 0.250 0.609 Hg
0.887 0.250 0.891 Hg
0.224 0.250 0.182 O
0.724 0.250 0.318 O
0.276 0.750 0.682 O
0.776 0.750 0.818 O
0.574 0.250 0.180 Pb
0.074 0.250 0.320 Pb
0.926 0.750 0.680 Pb
0.426 0.750 0.820 Pb
0.725 0.750 0.041 Te
0.225 0.750 0.459 Te
0.775 0.250 0.541 Te
0.275 0.250 0.959 Te
```

Offset from the most stable computed form   0.222 eV per atom

[9]
Below is a relaxed HgTePbO crystal, with properties calculated at the GGA-PBE level.

Geometry as POSCAR:
```
HgTePbO
1.0
-1.484 -3.459 -1.952
3.877 -0.033 1.715
-5.140 -4.305 11.536
Hg O Pb Te
2 2 2 2
direct
0.000 0.000 0.490 Hg
0.000 0.000 0.990 Hg
0.000 0.000 0.323 O
0.000 0.000 0.823 O
0.333 0.666 0.277 Pb
0.667 0.334 0.777 Pb
0.667 0.333 0.097 Te
0.333 0.667 0.597 Te
```

Offset from the most stable computed form   0.092 eV per atom

[10]
Below is a relaxed HgTePbO crystal, with properties calculated at the GGA-PBE level.

Geometry as POSCAR:
```
HgTePbO
1.0
7.544 0.000 0.000
0.000 8.371 0.000
0.000 0.000 13.575
Hg O Pb Te
8 8 8 8
direct
0.951 0.218 0.058 Hg
0.549 0.718 0.058 Hg
0.451 0.218 0.442 Hg
0.049 0.718 0.442 Hg
0.951 0.282 0.558 Hg
0.549 0.782 0.558 Hg
0.451 0.282 0.942 Hg
0.049 0.782 0.942 Hg
0.898 0.274 0.226 O
0.602 0.774 0.226 O
0.398 0.274 0.274 O
0.102 0.774 0.274 O
0.898 0.226 0.726 O
0.602 0.726 0.726 O
0.398 0.226 0.774 O
0.102 0.726 0.774 O
0.641 0.431 0.233 Pb
0.859 0.931 0.233 Pb
0.141 0.431 0.267 Pb
0.359 0.931 0.267 Pb
0.641 0.069 0.733 Pb
0.859 0.569 0.733 Pb
0.141 0.069 0.767 Pb
0.359 0.569 0.767 Pb
0.263 0.042 0.041 Te
0.237 0.542 0.041 Te
0.763 0.042 0.459 Te
0.737 0.542 0.459 Te
0.263 0.458 0.541 Te
0.237 0.958 0.541 Te
0.763 0.458 0.959 Te
0.737 0.958 0.959 Te
```

Offset from the most stable computed form   0.106 eV per atom

[11]
Below is a relaxed HgTePbO crystal, with properties calculated at the GGA-PBE level.

Geometry as POSCAR:
```
HgTePbO
1.0
-2.580 2.736 5.215
3.759 -5.096 4.533
7.223 5.800 0.530
Hg O Pb Te
4 4 4 4
direct
0.043 0.598 0.021 Hg
0.957 0.098 0.479 Hg
0.457 0.402 0.521 Hg
0.543 0.902 0.979 Hg
0.389 0.154 0.016 O
0.611 0.654 0.484 O
0.111 0.846 0.516 O
0.889 0.346 0.984 O
0.583 0.366 0.103 Pb
0.417 0.866 0.397 Pb
0.917 0.634 0.603 Pb
0.083 0.134 0.897 Pb
0.910 0.900 0.144 Te
0.090 0.400 0.356 Te
0.590 0.100 0.644 Te
0.410 0.600 0.856 Te
```

Offset from the most stable computed form   0.070 eV per atom

[12]
Below is a relaxed HgTePbO crystal, with properties calculated at the GGA-PBE level.

Geometry as POSCAR:
```
HgTePbO
1.0
-1.058 3.490 1.787
-2.212 -1.457 -3.079
-8.100 -7.175 9.217
Hg O Pb Te
2 2 2 2
direct
0.333 0.667 0.267 Hg
0.667 0.333 0.767 Hg
0.000 0.000 0.319 O
0.000 0.000 0.819 O
0.000 0.001 0.482 Pb
0.000 0.999 0.982 Pb
0.666 0.333 0.121 Te
0.334 0.667 0.621 Te
```

Offset from the most stable computed form   0.394 eV per atom